[1]
HfReSCl2 | GGA-PBEsol | optimized geometry

abc: 4.9104 4.9104 4.8946
angles: 90.00 90.00 90.00
With the nearest neighbours (Å) after each atom.
Element x y z (fractional)
Hf (0.0000, 0.0000, 0.0000)  2 S 2.45, 4 Cl 2.46
Re (0.5000, 0.5000, 0.5000)  8 Cl 3.47, 4 S 3.47
S (0.0000, 0.0000, 0.5000)  2 Hf 2.45
Cl (0.0000, 0.5000, 0.0000)  2 Hf 2.46
Cl (0.5000, 0.0000, 0.0000)  2 Hf 2.46

Output
Calculated volume, A^3/atom: 23.60
Raw total energy, eV/atom: -6.05
Formation energy from raw total energies, eV per atom: 0.395
Magnetic moment, μB per cell: 5.5

---

[2]
HfRhCl2 | GGA-PBEsol | optimized geometry

abc: 4.4137 4.4137 4.4137
angles: 60.00 60.00 60.00
With the nearest neighbours (Å) after each atom.
Element x y z (fractional)
Hf (0.0000, 0.0000, 0.0000)  8 Cl 2.70
Rh (0.5000, 0.5000, 0.5000)  8 Cl 2.70
Cl (0.2500, 0.2500, 0.2500)  4 Hf 2.70, 4 Rh 2.70
Cl (0.7500, 0.7500, 0.7500)  4 Hf 2.70, 4 Rh 2.70

Output
Calculated volume, A^3/atom: 15.20
Raw total energy, eV/atom: -5.88
Formation energy from raw total energies, eV per atom: -0.217
Magnetic moment, μB per cell: 0.0

---

[3]
HfRh2Cl | GGA-PBEsol | optimized geometry

abc: 4.4675 4.4675 4.4675
angles: 60.00 60.00 60.00
With the nearest neighbours (Å) after each atom.
Element x y z (fractional)
Hf (0.0000, 0.0000, 0.0000)  8 Rh 2.74
Rh (0.2500, 0.2500, 0.2500)  4 Hf 2.74, 4 Cl 2.74
Rh (0.7500, 0.7500, 0.7500)  4 Hf 2.74, 4 Cl 2.74
Cl (0.5000, 0.5000, 0.5000)  8 Rh 2.74

Output
Calculated volume, A^3/atom: 15.76
Raw total energy, eV/atom: -7.26
Formation energy from raw total energies, eV per atom: -0.067
Magnetic moment, μB per cell: 0.0

---

[4]
HfRuS2Cl | GGA-PBEsol | optimized geometry

abc: 4.5451 4.5451 4.4485
angles: 90.00 90.00 90.00
With the nearest neighbours (Å) after each atom.
Element x y z (fractional)
Hf (0.0000, 0.0000, 0.0000)  8 S 3.18, 4 Cl 3.21
Ru (0.5000, 0.5000, 0.5000)  2 Cl 2.22, 4 S 2.27
S (0.0000, 0.5000, 0.5000)  2 Ru 2.27
S (0.5000, 0.0000, 0.5000)  2 Ru 2.27
Cl (0.5000, 0.5000, 0.0000)  2 Ru 2.22

Output
Calculated volume, A^3/atom: 18.38
Raw total energy, eV/atom: -6.14
Formation energy from raw total energies, eV per atom: 0.146
Magnetic moment, μB per cell: 0.0

---

[5]
HfSCl3 | GGA-PBEsol | optimized geometry

abc: 4.8177 4.8177 4.8177
angles: 90.00 90.00 90.00
With the nearest neighbours (Å) after each atom.
Element x y z (fractional)
Hf (0.0000, 0.0000, 0.0000)  12 Cl 3.41
S (0.5000, 0.5000, 0.5000)  6 Cl 2.41
Cl (0.0000, 0.5000, 0.5000)  2 S 2.41
Cl (0.5000, 0.0000, 0.5000)  2 S 2.41
Cl (0.5000, 0.5000, 0.0000)  2 S 2.41

Output
Calculated volume, A^3/atom: 22.36
Raw total energy, eV/atom: -3.57
Formation energy from raw total energies, eV per atom: 0.608
Magnetic moment, μB per cell: 2.2

---

[6]
HfScS2Cl | GGA-PBEsol | optimized geometry

abc: 4.8758 4.8758 4.7396
angles: 90.00 90.00 90.00
With the nearest neighbours (Å) after each atom.
Element x y z (fractional)
Hf (0.0000, 0.0000, 0.0000)  2 Cl 2.37, 4 S 2.44
Sc (0.5000, 0.5000, 0.5000)  8 S 3.40, 4 Cl 3.45
S (0.0000, 0.5000, 0.0000)  2 Hf 2.44
S (0.5000, 0.0000, 0.0000)  2 Hf 2.44
Cl (0.0000, 0.0000, 0.5000)  2 Hf 2.37

Output
Calculated volume, A^3/atom: 22.54
Raw total energy, eV/atom: -6.50
Formation energy from raw total energies, eV per atom: -0.919
Magnetic moment, μB per cell: 1.2

---

[7]
HfSnSCl2 | GGA-PBEsol | optimized geometry

abc: 5.0746 5.0746 5.1983
angles: 90.00 90.00 90.00
With the nearest neighbours (Å) after each atom.
Element x y z (fractional)
Hf (0.0000, 0.0000, 0.0000)  4 S 3.59, 8 Cl 3.63
Sn (0.5000, 0.5000, 0.5000)  4 Cl 2.54, 2 S 2.60
S (0.5000, 0.5000, 0.0000)  2 Sn 2.60
Cl (0.0000, 0.5000, 0.5000)  2 Sn 2.54
Cl (0.5000, 0.0000, 0.5000)  2 Sn 2.54

Output
Calculated volume, A^3/atom: 26.77
Raw total energy, eV/atom: -4.28
Formation energy from raw total energies, eV per atom: 0.349
Magnetic moment, μB per cell: 2.2

---

[8]
SrHfS2Cl | GGA-PBEsol | optimized geometry

abc: 4.9329 4.9329 4.8128
angles: 90.00 90.00 90.00
With the nearest neighbours (Å) after each atom.
Element x y z (fractional)
Sr (0.0000, 0.0000, 0.0000)  8 S 3.45, 4 Cl 3.49
Hf (0.5000, 0.5000, 0.5000)  2 Cl 2.41, 4 S 2.47
S (0.0000, 0.5000, 0.5000)  2 Hf 2.47
S (0.5000, 0.0000, 0.5000)  2 Hf 2.47
Cl (0.5000, 0.5000, 0.0000)  2 Hf 2.41

Output
Calculated volume, A^3/atom: 23.42
Raw total energy, eV/atom: -6.27
Formation energy from raw total energies, eV per atom: -1.649
Magnetic moment, μB per cell: 0.0

---

[9]
HfTaSCl2 | GGA-PBEsol | optimized geometry

abc: 4.7849 4.7849 4.9598
angles: 90.00 90.00 90.00
With the nearest neighbours (Å) after each atom.
Element x y z (fractional)
Hf (0.0000, 0.0000, 0.0000)  4 Cl 2.39, 2 S 2.48
Ta (0.5000, 0.5000, 0.5000)  4 S 3.38, 8 Cl 3.45
S (0.0000, 0.0000, 0.5000)  2 Hf 2.48
Cl (0.0000, 0.5000, 0.0000)  2 Hf 2.39
Cl (0.5000, 0.0000, 0.0000)  2 Hf 2.39

Output
Calculated volume, A^3/atom: 22.71
Raw total energy, eV/atom: -6.07
Formation energy from raw total energies, eV per atom: 0.217
Magnetic moment, μB per cell: 4.0

---

[10]
HfWS2Cl | GGA-PBEsol | optimized geometry

abc: 4.8938 4.8938 4.7379
angles: 90.00 90.00 90.00
With the nearest neighbours (Å) after each atom.
Element x y z (fractional)
Hf (0.0000, 0.0000, 0.0000)  2 Cl 2.37, 4 S 2.45
W (0.5000, 0.5000, 0.5000)  8 S 3.41, 4 Cl 3.46
S (0.0000, 0.5000, 0.0000)  2 Hf 2.45
S (0.5000, 0.0000, 0.0000)  2 Hf 2.45
Cl (0.0000, 0.0000, 0.5000)  2 Hf 2.37

Output
Calculated volume, A^3/atom: 22.69
Raw total energy, eV/atom: -6.61
Formation energy from raw total energies, eV per atom: 0.407
Magnetic moment, μB per cell: 4.7

---

[11]
HfSbCl2 | GGA-PBEsol | optimized geometry

abc: 4.7796 4.7796 4.7796
angles: 60.00 60.00 60.00
With the nearest neighbours (Å) after each atom.
Element x y z (fractional)
Hf (0.0000, 0.0000, 0.0000)  8 Cl 2.93
Sb (0.5000, 0.5000, 0.5000)  8 Cl 2.93
Cl (0.2500, 0.2500, 0.2500)  4 Hf 2.93, 4 Sb 2.93
Cl (0.7500, 0.7500, 0.7500)  4 Hf 2.93, 4 Sb 2.93

Output
Calculated volume, A^3/atom: 19.30
Raw total energy, eV/atom: -4.89
Formation energy from raw total energies, eV per atom: -0.117
Magnetic moment, μB per cell: 0.0
Polymorph energy (0 for the lowest one), meV per atom: 380

---

[12]
HfSbCl2 | GGA-PBEsol | optimized geometry

abc: 12.0438 12.0438 12.0438
angles: 15.73 15.73 15.73
With the nearest neighbours (Å) after each atom.
Element x y z (fractional)
Hf (0.0000, 0.0000, 0.0000)  2 Cl 2.30
Sb (0.5000, 0.5000, 0.5000)  6 Sb 3.30
Cl (0.0646, 0.0646, 0.0646)  1 Hf 2.30
Cl (0.9354, 0.9354, 0.9354)  1 Hf 2.30

Output
Calculated volume, A^3/atom: 27.98
Raw total energy, eV/atom: -5.24
Formation energy from raw total energies, eV per atom: -0.469
Magnetic moment, μB per cell: 0.0
Polymorph energy (0 for the lowest one), meV per atom: 29

---

[13]
HfSbCl2 | GGA-PBEsol | optimized geometry

abc: 9.6700 9.6700 9.6700
angles: 154.02 154.02 37.07
With the nearest neighbours (Å) after each atom.
Element x y z (fractional)
Hf (0.0000, 0.0000, 0.0000)  4 Cl 2.71
Hf (0.7500, 0.2500, 0.5000)  4 Cl 2.71
Sb (0.2500, 0.7500, 0.5000)  4 Cl 2.82, 4 Hf 3.07
Sb (0.5000, 0.5000, 0.0000)  4 Cl 2.82, 4 Hf 3.07
Cl (0.0935, 0.6250, 0.9685)  2 Hf 2.71, 2 Sb 2.82, 2 Cl 2.89
Cl (0.3750, 0.3435, 0.4685)  2 Hf 2.71, 2 Sb 2.82, 2 Cl 2.89
Cl (0.6565, 0.1250, 0.0315)  2 Hf 2.71, 2 Sb 2.82, 2 Cl 2.89
Cl (0.8750, 0.9065, 0.5315)  2 Hf 2.71, 2 Sb 2.82, 2 Cl 2.89

Output
Calculated volume, A^3/atom: 21.66
Raw total energy, eV/atom: -5.27
Formation energy from raw total energies, eV per atom: -0.498
Magnetic moment, μB per cell: 0.0
Polymorph energy (0 for the lowest one), meV per atom: 0

---

[14]
HfSc3Cl | GGA-PBEsol | optimized geometry

abc: 5.2311 5.2311 5.2311
angles: 90.00 90.00 90.00
With the nearest neighbours (Å) after each atom.
Element x y z (fractional)
Hf (0.0000, 0.0000, 0.0000)  6 Sc 2.62
Sc (0.0000, 0.0000, 0.5000)  2 Hf 2.62
Sc (0.0000, 0.5000, 0.0000)  2 Hf 2.62
Sc (0.5000, 0.0000, 0.0000)  2 Hf 2.62
Cl (0.5000, 0.5000, 0.5000)  12 Sc 3.70

Output
Calculated volume, A^3/atom: 28.63
Raw total energy, eV/atom: -5.74
Formation energy from raw total energies, eV per atom: 0.729
Magnetic moment, μB per cell: 0.0

---

[15]
HfScSnCl2 | GGA-PBEsol | optimized geometry

abc: 5.0793 5.0793 5.8636
angles: 90.00 90.00 90.00
With the nearest neighbours (Å) after each atom.
Element x y z (fractional)
Hf (0.0000, 0.0000, 0.0000)  2 Sn 2.93
Sc (0.5000, 0.5000, 0.0000)  4 Hf 3.59, 8 Cl 3.88
Sn (0.0000, 0.0000, 0.5000)  4 Cl 2.54
Cl (0.0000, 0.5000, 0.5000)  2 Sn 2.54
Cl (0.5000, 0.0000, 0.5000)  2 Sn 2.54

Output
Calculated volume, A^3/atom: 30.26
Raw total energy, eV/atom: -4.57
Formation energy from raw total energies, eV per atom: 0.503
Magnetic moment, μB per cell: 0.0

---

[16]
Hf2SeCl | GGA-PBEsol | optimized geometry

abc: 5.8854 5.8854 5.8854
angles: 107.08 107.08 114.37
With the nearest neighbours (Å) after each atom.
Element x y z (fractional)
Hf (0.0939, 0.1250, 0.4689)  2 Cl 2.46, 2 Se 2.75
Hf (0.3750, 0.9061, 0.0311)  2 Cl 2.46, 2 Se 2.75
Hf (0.6561, 0.6250, 0.5311)  2 Cl 2.46, 2 Se 2.75
Hf (0.8750, 0.3439, 0.9689)  2 Cl 2.46, 2 Se 2.75
Se (0.2500, 0.7500, 0.5000)  4 Hf 2.75
Se (0.5000, 0.5000, 0.0000)  4 Hf 2.75
Cl (0.0000, 0.0000, 0.0000)  4 Hf 2.46
Cl (0.7500, 0.2500, 0.5000)  4 Hf 2.46

Output
Calculated volume, A^3/atom: 19.51
Raw total energy, eV/atom: -7.11
Formation energy from raw total energies, eV per atom: -0.396
Magnetic moment, μB per cell: 0.0

---

[17]
Hf3SiCl | GGA-PBEsol | optimized geometry

abc: 4.9137 4.9137 4.9137
angles: 90.00 90.00 90.00
With the nearest neighbours (Å) after each atom.
Element x y z (fractional)
Hf (0.0000, 0.0000, 0.5000)  2 Si 2.46
Hf (0.0000, 0.5000, 0.0000)  2 Si 2.46
Hf (0.5000, 0.0000, 0.0000)  2 Si 2.46
Si (0.0000, 0.0000, 0.0000)  6 Hf 2.46
Cl (0.5000, 0.5000, 0.5000)  12 Hf 3.47

Output
Calculated volume, A^3/atom: 23.73
Raw total energy, eV/atom: -7.22
Formation energy from raw total energies, eV per atom: 0.634
Magnetic moment, μB per cell: 0.0

---

[18]
HfSn2Cl | GGA-PBEsol | optimized geometry

abc: 5.0736 5.0736 5.0736
angles: 60.00 60.00 60.00
With the nearest neighbours (Å) after each atom.
Element x y z (fractional)
Hf (0.0000, 0.0000, 0.0000)  8 Sn 3.11
Sn (0.2500, 0.2500, 0.2500)  4 Hf 3.11, 4 Cl 3.11
Sn (0.7500, 0.7500, 0.7500)  4 Hf 3.11, 4 Cl 3.11
Cl (0.5000, 0.5000, 0.5000)  8 Sn 3.11

Output
Calculated volume, A^3/atom: 23.09
Raw total energy, eV/atom: -5.11
Formation energy from raw total energies, eV per atom: 0.146
Magnetic moment, μB per cell: 0.0

---

[19]
HfTaCl3 | GGA-PBEsol | optimized geometry

abc: 4.8890 4.8890 4.8890
angles: 90.00 90.00 90.00
With the nearest neighbours (Å) after each atom.
Element x y z (fractional)
Hf (0.0000, 0.0000, 0.0000)  6 Cl 2.44
Ta (0.5000, 0.5000, 0.5000)  12 Cl 3.46
Cl (0.0000, 0.0000, 0.5000)  2 Hf 2.44
Cl (0.0000, 0.5000, 0.0000)  2 Hf 2.44
Cl (0.5000, 0.0000, 0.0000)  2 Hf 2.44

Output
Calculated volume, A^3/atom: 23.37
Raw total energy, eV/atom: -5.45
Formation energy from raw total energies, eV per atom: 0.361
Magnetic moment, μB per cell: 4.2

---

[20]
HfTe8Cl6 | GGA-PBEsol | optimized geometry

abc: 6.8061 8.7787 16.5783
angles: 104.12 99.34 93.91
With the nearest neighbours (Å) after each atom.
Element x y z (fractional)
Hf (0.0000, 0.0000, 0.0000)  6 Cl 2.41-2.46
Hf (0.0000, 0.0000, 0.5000)  6 Cl 2.43-2.46
Te (0.1959, 0.4446, 0.2241)  3 Te 2.76-3.07
Te (0.2114, 0.6510, 0.6695)  2 Te 2.72-2.79
Te (0.2619, 0.6997, 0.1588)  2 Te 2.74-2.76
Te (0.2817, 0.5006, 0.8975)  2 Te 2.73-2.80
Te (0.3378, 0.2483, 0.7727)  2 Te 2.73-2.74
Te (0.3502, 0.5834, 0.3952)  2 Te 2.75-2.79
Te (0.4460, 0.7261, 0.8261)  2 Te 2.72-2.80
Te (0.4572, 0.2890, 0.4017)  2 Te 2.75-2.79
Te (0.5428, 0.7110, 0.5983)  2 Te 2.75-2.79
Te (0.5540, 0.2739, 0.1739)  2 Te 2.72-2.80
Te (0.6498, 0.4166, 0.6048)  2 Te 2.75-2.79
Te (0.6622, 0.7517, 0.2273)  2 Te 2.73-2.74
Te (0.7183, 0.4994, 0.1025)  2 Te 2.73-2.80
Te (0.7381, 0.3003, 0.8412)  2 Te 2.74-2.76
Te (0.7886, 0.3490, 0.3305)  2 Te 2.72-2.79
Te (0.8041, 0.5554, 0.7759)  3 Te 2.76-3.07
Cl (0.0012, 0.9387, 0.8500)  1 Hf 2.41
Cl (0.0753, 0.2712, 0.4889)  1 Hf 2.46
Cl (0.1150, 0.8944, 0.3685)  1 Hf 2.43
Cl (0.1786, 0.2616, 0.0162)  1 Hf 2.46
Cl (0.3170, 0.8887, 0.0250)  1 Hf 2.44
Cl (0.3380, 0.0165, 0.5807)  1 Hf 2.44
Cl (0.6620, 0.9835, 0.4193)  1 Hf 2.44
Cl (0.6830, 0.1113, 0.9750)  1 Hf 2.44
Cl (0.8214, 0.7384, 0.9838)  1 Hf 2.46
Cl (0.8850, 0.1056, 0.6315)  1 Hf 2.43
Cl (0.9247, 0.7288, 0.5111)  1 Hf 2.46
Cl (0.9988, 0.0613, 0.1500)  1 Hf 2.41

Output
Calculated volume, A^3/atom: 31.39
Raw total energy, eV/atom: -4.06
Formation energy from raw total energies, eV per atom: -0.673
Magnetic moment, μB per cell: 0.0